{
  "formula": "LiV3O4F2",
  "functional": "SCAN",
  "state": "single point on PBEsol structure",
  "total_energy_ev_per_cell": -458.0,
  "spacegroup": "No. 62",
  "e_form_raw_ev_per_fu": -27.636,
  "magmom_total_mub_per_cell": 24.00,
  "lattice_angstrom": [[9.950, 0.000, 0.000], [0.000, 8.306, 0.000], [0.000, 0.000, 4.853]],
  "species": ["Li", "Li", "Li", "Li", "V", "V", "V", "V", "V", "V", "V", "V", "V", "V", "V", "V", "O", "O", "O", "O", "O", "O", "O", "O", "O", "O", "O", "O", "O", "O", "O", "O", "F", "F", "F", "F", "F", "F", "F", "F"],
  "fractional_positions": [[0.216, 0.250, 0.047], [0.284, 0.750, 0.547], [0.716, 0.250, 0.453], [0.784, 0.750, 0.953], [0.104, 0.750, 0.958], [0.142, 0.080, 0.489], [0.142, 0.420, 0.489], [0.358, 0.580, 0.989], [0.358, 0.920, 0.989], [0.396, 0.250, 0.458], [0.604, 0.750, 0.542], [0.642, 0.080, 0.011], [0.642, 0.420, 0.011], [0.858, 0.580, 0.511], [0.858, 0.920, 0.511], [0.896, 0.250, 0.042], [0.055, 0.250, 0.260], [0.199, 0.581, 0.755], [0.199, 0.919, 0.755], [0.230, 0.250, 0.686], [0.270, 0.750, 0.186], [0.301, 0.081, 0.255], [0.301, 0.419, 0.255], [0.445, 0.750, 0.760], [0.555, 0.250, 0.240], [0.699, 0.581, 0.745], [0.699, 0.919, 0.745], [0.730, 0.250, 0.814], [0.770, 0.750, 0.314], [0.801, 0.081, 0.245], [0.801, 0.419, 0.245], [0.945, 0.750, 0.740], [0.033, 0.589, 0.264], [0.033, 0.911, 0.264], [0.467, 0.089, 0.764], [0.467, 0.411, 0.764], [0.533, 0.589, 0.236], [0.533, 0.911, 0.236], [0.967, 0.089, 0.736], [0.967, 0.411, 0.736]]
}